! Pm2TmRh2, relaxed, DFT PBE-GGA; values from VASP
! - Density of states at the Fermi level: 5.9 states/eV per cell
! - M_tot: 0.00 Bohr magnetons per cell
! - Total DFT energy (no corrections): -6.386 eV/atom
! - ΔE to the lowest computed polymorph: 0 meV/atom
! - Formation enthalpy at 0 K: -0.651 eV per atom
&SYSTEM
  ibrav = 0, nat = 10, ntyp = 3
/
ATOMIC_SPECIES
Pm 145.00 Pm.upf
Tm 168.93 Tm.upf
Rh 102.91 Rh.upf
CELL_PARAMETERS angstrom
1.9930 -6.4357 0.0000
1.9930 6.4357 0.0000
0.0000 0.0000 9.8808
ATOMIC_POSITIONS crystal
Pm 0.0992 0.9008 0.5000
Pm 0.3617 0.6383 0.6795
Pm 0.6383 0.3617 0.1795
Pm 0.9008 0.0992 0.0000
Tm 0.3506 0.6494 0.3111
Tm 0.6494 0.3506 0.8111
Rh 0.0098 0.9902 0.7567
Rh 0.2374 0.7626 0.9866
Rh 0.7626 0.2374 0.4866
Rh 0.9902 0.0098 0.2567